This record from Alexandria describes SrCa2LaIn4 after structural relaxation. The functional is PBE.

Lattice parameters (Å, degrees): 5.5682 5.5682 9.6526 73.24 73.24 60.00
Last column: nearest neighbours and their distance in Å.
Element x y z (fractional)
In: 0.6233 0.6233 0.1302  1 La 3.37, 4 Ca 3.39-3.44, 3 Sr 3.43
In: 0.3767 0.3767 0.8698  1 La 3.37, 4 Ca 3.39-3.44, 3 Sr 3.43
In: 0.1258 0.1258 0.6225  3 La 3.40, 4 Ca 3.41-3.42, 1 Sr 3.44
In: 0.8742 0.8742 0.3775  3 La 3.40, 4 Ca 3.41-3.42, 1 Sr 3.44
Ca: 0.7493 0.7493 0.7521  8 In 3.39-3.44
Ca: 0.2507 0.2507 0.2479  8 In 3.39-3.44
La: 0.5000 0.5000 0.5000  8 In 3.37-3.40
Sr: 0.0000 0.0000 0.0000  8 In 3.43-3.44

Computed properties:
Total moment: 0.00 μB/cell
E_tot: -25.34 eV per cell
Energy of formation from the pure elements: -471 meV/atom
SG: R-3m, No. 166



This record from Alexandria describes CaLaTbIn after structural relaxation. The functional is PBE.

Lattice parameters (Å, degrees): 5.6173 5.6173 5.6173 60.00 60.00 60.00
Last column: nearest neighbours and their distance in Å.
Element x y z (fractional)
La: 0.5000 0.5000 0.5000  4 In 3.44, 4 Ca 3.44
Ca: 0.7500 0.7500 0.7500  4 Tb 3.44, 4 La 3.44
Tb: 0.0000 0.0000 0.0000  4 Ca 3.44, 4 In 3.44
In: 0.2500 0.2500 0.2500  4 Tb 3.44, 4 La 3.44

Computed properties:
Total moment: 0.00 μB/cell
E_tot: -15.02 eV per cell
Energy of formation from the pure elements: -180 meV/atom
SG: F-43m, No. 216



This record from Alexandria describes CaLa2InTc after structural relaxation. The functional is PBE.

Lattice parameters (Å, degrees): 5.4033 5.4033 5.5269 90.00 90.00 90.00
Last column: nearest neighbours and their distance in Å.
Element x y z (fractional)
La: 0.0000 0.5000 0.0000  2 Tc 2.70
La: 0.5000 0.0000 0.0000  2 Tc 2.70
In: 0.0000 0.0000 0.5000  2 Tc 2.76
Ca: 0.5000 0.5000 0.5000  4 In 3.82, 8 La 3.86
Tc: 0.0000 0.0000 0.0000  4 La 2.70, 2 In 2.76

Computed properties:
Total moment: 0.00 μB/cell
E_tot: -25.39 eV per cell
Energy of formation from the pure elements: -85 meV/atom
SG: P4/mmm, No. 123



This record from Alexandria describes CaLa2In3Te6 after structural relaxation. The functional is PBE.

Lattice parameters (Å, degrees): 4.5773 9.4749 10.5410 105.97 102.54 90.00
Last column: nearest neighbours and their distance in Å.
Element x y z (fractional)
Te: 0.3300 0.4277 0.6601  3 La 3.24-3.26, 3 In 3.37-3.40
Te: 0.6700 0.5723 0.3399  3 La 3.24-3.26, 3 In 3.37-3.40
Te: 0.0035 0.2425 0.0070  1 La 3.19, 2 Ca 3.23, 3 In 3.32-3.36
Te: 0.6631 0.0887 0.3263  2 La 3.21, 1 Ca 3.22, 3 In 3.33-3.42
Te: 0.9965 0.7575 0.9930  1 La 3.19, 2 Ca 3.23, 3 In 3.32-3.36
Te: 0.3369 0.9113 0.6737  2 La 3.21, 1 Ca 3.22, 3 In 3.33-3.42
In: 0.5000 0.5000 0.0000  6 Te 3.36-3.37
In: 0.8357 0.1664 0.6715  6 Te 3.32-3.42
In: 0.1643 0.8336 0.3285  6 Te 3.32-3.42
La: 0.8353 0.6726 0.6705  6 Te 3.19-3.26
La: 0.1647 0.3274 0.3295  6 Te 3.19-3.26
Ca: 0.5000 0.0000 0.0000  6 Te 3.22-3.23

Computed properties:
Total moment: 0.00 μB/cell
E_tot: -50.77 eV per cell
SG: C2/m, No. 12



This record from Alexandria describes CaLa2VIn after structural relaxation. The functional is PBE.

Lattice parameters (Å, degrees): 5.3696 5.4948 5.3696 90.00 90.00 90.00
Last column: nearest neighbours and their distance in Å.
Element x y z (fractional)
La: 0.5000 0.0000 0.0000  2 V 2.68
La: 0.0000 0.0000 0.5000  2 V 2.68
V: 0.0000 0.0000 0.0000  4 La 2.68, 2 In 2.75
Ca: 0.5000 0.5000 0.5000  4 In 3.80, 8 La 3.84
In: 0.0000 0.5000 0.0000  2 V 2.75

Computed properties:
Total moment: 0.84 μB/cell
E_tot: -22.84 eV per cell
Energy of formation from the pure elements: 174 meV/atom
SG: P4/mmm, No. 123



This record from Alexandria describes CaLa2Zn2In2 after structural relaxation. The functional is PBE.

Lattice parameters (Å, degrees): 4.7808 4.7808 10.0736 76.27 76.27 60.00
Last column: nearest neighbours and their distance in Å.
Element x y z (fractional)
In: 0.7367 0.7367 0.7899  3 Zn 2.76
In: 0.2633 0.2633 0.2101  3 Zn 2.76
Ca: 0.0000 0.0000 0.0000  6 In 3.43, 6 Zn 3.44, 2 La 3.77
Zn: 0.5960 0.5960 0.2120  3 In 2.76
Zn: 0.4040 0.4040 0.7880  3 In 2.76
La: 0.1297 0.1297 0.6109  3 Zn 3.25, 3 In 3.26, 3 La 3.50
La: 0.8703 0.8703 0.3891  3 Zn 3.25, 3 In 3.26, 3 La 3.50

Computed properties:
Total moment: 0.00 μB/cell
E_tot: -22.07 eV per cell
Energy of formation from the pure elements: -313 meV/atom
SG: R-3m, No. 166



This record from Alexandria describes Ca2LaZn2In2 after structural relaxation. The functional is PBE.

Lattice parameters (Å, degrees): 4.7874 4.7874 10.2159 76.45 76.45 60.00
Last column: nearest neighbours and their distance in Å.
Element x y z (fractional)
Zn: 0.3957 0.3957 0.8129  3 In 2.78
Zn: 0.6043 0.6043 0.1871  3 In 2.78
Ca: 0.8736 0.8736 0.3792  3 In 3.21, 3 Zn 3.35
Ca: 0.1264 0.1264 0.6208  3 In 3.21, 3 Zn 3.35
In: 0.2620 0.2620 0.2140  3 Zn 2.78
In: 0.7380 0.7380 0.7860  3 Zn 2.78
La: 0.0000 0.0000 0.0000  6 Zn 3.32, 6 In 3.47

Computed properties:
Total moment: 0.00 μB/cell
E_tot: -19.46 eV per cell
Energy of formation from the pure elements: -357 meV/atom
SG: R-3m, No. 166



This record from Alexandria describes LiCa4In after structural relaxation. The functional is PBE.

Lattice parameters (Å, degrees): 6.8660 6.8660 6.8660 60.00 60.00 60.00
Last column: nearest neighbours and their distance in Å.
Element x y z (fractional)
Ca: 0.3756 0.3756 0.3756  6 Ca 3.42-3.45
Ca: 0.3756 0.3756 0.8732  6 Ca 3.42-3.45
Ca: 0.3756 0.8732 0.3756  6 Ca 3.42-3.45
Ca: 0.8732 0.3756 0.3756  6 Ca 3.42-3.45
In: 0.7500 0.7500 0.7500  12 Ca 4.02, 4 Li 4.20
Li: 0.0000 0.0000 0.0000  12 Ca 4.03, 4 In 4.20

Computed properties:
Total moment: 0.00 μB/cell
Distance to the lowest polymorph of the same formula: 252.7 meV per atom
E_tot: -11.19 eV per cell
Energy of formation from the pure elements: 245 meV/atom
SG: F-43m, No. 216



This record from Alexandria describes LiCa2In after structural relaxation. The functional is PBE.

Lattice parameters (Å, degrees): 6.3202 6.3202 5.4924 67.02 67.02 35.83
Last column: nearest neighbours and their distance in Å.
Element x y z (fractional)
Ca: 0.9864 0.9864 0.0227  4 In 3.39-3.40, 3 Li 3.53-3.57, 4 Ca 3.60-3.72
Ca: 0.7742 0.7742 0.7138  3 In 3.38-3.67, 4 Li 3.40-3.46, 4 Ca 3.60-3.72
In: 0.5259 0.5259 0.4883  2 Li 2.84
Li: 0.2135 0.2135 0.2753  2 In 2.84

Computed properties:
Total moment: 0.00 μB/cell
E_tot: -9.59 eV per cell
Energy of formation from the pure elements: -235 meV/atom
SG: Cm, No. 8



This record from Alexandria describes Li4CaIn after structural relaxation. The functional is PBE.

Lattice parameters (Å, degrees): 5.6148 5.6148 5.6148 60.00 60.00 60.00
Last column: nearest neighbours and their distance in Å.
Element x y z (fractional)
In: 0.0000 0.0000 0.0000  12 Li 3.29, 4 Ca 3.44
Li: 0.6273 0.6273 0.1182  6 Li 2.76-2.86
Li: 0.6273 0.6273 0.6273  6 Li 2.76-2.86
Li: 0.1182 0.6273 0.6273  6 Li 2.76-2.86
Li: 0.6273 0.1182 0.6273  6 Li 2.76-2.86
Ca: 0.2500 0.2500 0.2500  12 Li 3.30, 4 In 3.44

Computed properties:
Total moment: 0.51 μB/cell
E_tot: -13.42 eV per cell
Energy of formation from the pure elements: -171 meV/atom
SG: F-43m, No. 216



This record from Alexandria describes Li3CaIn after structural relaxation. The functional is PBE.

Lattice parameters (Å, degrees): 5.1261 5.1261 5.1261 90.00 90.00 90.00
Last column: nearest neighbours and their distance in Å.
Element x y z (fractional)
Li: 0.5000 0.0000 0.0000  2 In 2.56
Li: 0.0000 0.0000 0.5000  2 In 2.56
Li: 0.0000 0.5000 0.0000  2 In 2.56
Ca: 0.5000 0.5000 0.5000  12 Li 3.62
In: 0.0000 0.0000 0.0000  6 Li 2.56

Computed properties:
Total moment: 0.00 μB/cell
Distance to the lowest polymorph of the same formula: 180.2 meV per atom
E_tot: -10.50 eV per cell
Energy of formation from the pure elements: -4 meV/atom
SG: Pm-3m, No. 221